[1]
## LaZrW2 (PBE-GGA)

Data for crystalline LaZrW2 at its relaxed geometry.

Summary:
- relative energy among the computed polymorphs (meV/atom) = 128.5
- DFT total energy (eV/atom) = -9.47
- crystal system = orthorhombic
- magnetic moment (μB/cell) = 0.0

```
data_LaZrW2
_chemical_formula_sum 'La2 Zr2 W4'
_space_group_name_H-M_alt 'C m m 2'
_space_group_IT_number 35
_cell_length_a 3.2922
_cell_length_b 4.9702
_cell_length_c 10.3231
_cell_angle_alpha 90.00
_cell_angle_beta 90.00
_cell_angle_gamma 90.00
loop_
_space_group_symop_operation_xyz
'x,y,z'
'-x,-y,z'
'-x,y,z'
'x,-y,z'
'x+1/2,y+1/2,z'
'-x+1/2,-y+1/2,z'
'-x+1/2,y+1/2,z'
'x+1/2,-y+1/2,z'
loop_
_atom_site_label
_atom_site_fract_x
_atom_site_fract_y
_atom_site_fract_z
_atom_site_occupancy
La1 0.0000 0.0000 0.0000 1
Zr1 0.0000 0.5000 0.6796 1
W1 0.0000 0.0000 0.4538 1
W2 0.0000 0.5000 0.2590 1
```



[2]
## Sc2TlHg2 (PBE-GGA)

Data for crystalline Sc2TlHg2 at its relaxed geometry.

Summary:
- relative energy among the computed polymorphs (meV/atom) = 259.6
- DFT total energy (eV/atom) = -3.13
- crystal system = tetragonal
- magnetic moment (μB/cell) = 1.9

```
data_Sc2TlHg2
_chemical_formula_sum 'Sc4 Tl2 Hg4'
_space_group_name_H-M_alt 'I 4/m m m'
_space_group_IT_number 139
_space_group_name_Hall '-I 4 2'
_cell_length_a 4.6145
_cell_length_b 4.6145
_cell_length_c 12.4224
_cell_angle_alpha 90.00
_cell_angle_beta 90.00
_cell_angle_gamma 90.00
loop_
_atom_site_label
_atom_site_fract_x
_atom_site_fract_y
_atom_site_fract_z
_atom_site_occupancy
Sc1 0.0000 0.5000 0.2500 1
Tl1 0.0000 0.0000 0.0000 1
Hg1 0.0000 0.0000 0.3899 1
```



[3]
## Tl5CdAu6 (PBE-GGA)

Data for crystalline Tl5CdAu6 at its relaxed geometry.

Summary:
- DFT total energy (eV/atom) = -2.69
- crystal system = monoclinic
- magnetic moment (μB/cell) = 0.0

```
data_Tl5CdAu6
_chemical_formula_sum 'Tl10 Cd2 Au12'
_space_group_name_H-M_alt 'C 1 2/m 1'
_space_group_IT_number 12
_cell_length_a 6.8601
_cell_length_b 12.3202
_cell_length_c 7.6119
_cell_angle_alpha 90.00
_cell_angle_beta 108.70
_cell_angle_gamma 90.00
loop_
_space_group_symop_operation_xyz
'x,y,z'
'-x,-y,-z'
'-x,y,-z'
'x,-y,z'
'x+1/2,y+1/2,z'
'-x+1/2,-y+1/2,-z'
'-x+1/2,y+1/2,-z'
'x+1/2,-y+1/2,z'
loop_
_atom_site_label
_atom_site_fract_x
_atom_site_fract_y
_atom_site_fract_z
_atom_site_occupancy
Tl1 0.0000 0.0000 0.0000 1
Tl2 0.0000 0.1634 0.5000 1
Tl3 0.0000 0.3255 0.0000 1
Cd1 0.0000 0.5000 0.5000 1
Au1 0.2322 0.5000 0.2489 1
Au2 0.2394 0.3391 0.7419 1
```



[4]
## La2Nd6Sm3 (PBE-GGA)

Data for crystalline La2Nd6Sm3 at its relaxed geometry.

Summary:
- relative energy among the computed polymorphs (meV/atom) = 416.3
- DFT total energy (eV/atom) = -4.36
- crystal system = tetragonal
- magnetic moment (μB/cell) = 0.0

```
data_La2Nd6Sm3
_chemical_formula_sum 'La4 Nd12 Sm6'
_space_group_name_H-M_alt 'I 4/m m m'
_space_group_IT_number 139
_space_group_name_Hall '-I 4 2'
_cell_length_a 5.7654
_cell_length_b 5.7654
_cell_length_c 25.0952
_cell_angle_alpha 90.00
_cell_angle_beta 90.00
_cell_angle_gamma 90.00
loop_
_atom_site_label
_atom_site_fract_x
_atom_site_fract_y
_atom_site_fract_z
_atom_site_occupancy
La1 0.0000 0.0000 0.0588 1
Nd1 0.0000 0.0000 0.1992 1
Nd2 0.0000 0.5000 0.0969 1
Sm1 0.0000 0.0000 0.3372 1
Sm2 0.0000 0.0000 0.5000 1
```



[5]
## La8GeRh3I4 (PBE-GGA)

Data for crystalline La8GeRh3I4 at its relaxed geometry.

Summary:
- DFT total energy (eV/atom) = -5.53
- crystal system = monoclinic
- magnetic moment (μB/cell) = 0.0

```
data_La8GeRh3I4
_chemical_formula_sum 'La16 Ge2 Rh6 I8'
_space_group_name_H-M_alt 'C 1 2/m 1'
_space_group_IT_number 12
_cell_length_a 14.9904
_cell_length_b 8.6436
_cell_length_c 9.5604
_cell_angle_alpha 90.00
_cell_angle_beta 121.50
_cell_angle_gamma 90.00
loop_
_space_group_symop_operation_xyz
'x,y,z'
'-x,-y,-z'
'-x,y,-z'
'x,-y,z'
'x+1/2,y+1/2,z'
'-x+1/2,-y+1/2,-z'
'-x+1/2,y+1/2,-z'
'x+1/2,-y+1/2,z'
loop_
_atom_site_label
_atom_site_fract_x
_atom_site_fract_y
_atom_site_fract_z
_atom_site_occupancy
La1 0.0241 0.2400 0.3129 1
La2 0.2310 0.0000 0.6917 1
La3 0.2355 0.5000 0.6869 1
Ge1 0.0000 0.5000 0.5000 1
Rh1 0.0000 0.0000 0.5000 1
Rh2 0.2500 0.2500 0.5000 1
I1 0.0000 0.0000 0.0000 1
I2 0.0000 0.5000 0.0000 1
I3 0.2500 0.2500 0.0000 1
```



[6]
## V8Tc3W2 (PBE-GGA)

Data for crystalline V8Tc3W2 at its relaxed geometry.

Summary:
- DFT total energy (eV/atom) = -9.62
- crystal system = monoclinic
- magnetic moment (μB/cell) = 0.0

```
data_V8Tc3W2
_chemical_formula_sum 'V16 Tc6 W4'
_space_group_name_H-M_alt 'C 1 2/m 1'
_space_group_IT_number 12
_cell_length_a 12.4688
_cell_length_b 6.4508
_cell_length_c 5.1519
_cell_angle_alpha 90.00
_cell_angle_beta 107.93
_cell_angle_gamma 90.00
loop_
_space_group_symop_operation_xyz
'x,y,z'
'-x,-y,-z'
'-x,y,-z'
'x,-y,z'
'x+1/2,y+1/2,z'
'-x+1/2,-y+1/2,-z'
'-x+1/2,y+1/2,-z'
'x+1/2,-y+1/2,z'
loop_
_atom_site_label
_atom_site_fract_x
_atom_site_fract_y
_atom_site_fract_z
_atom_site_occupancy
V1 0.1077 0.0000 0.1781 1
V2 0.1107 0.1830 0.6641 1
V3 0.1981 0.5000 0.4369 1
Tc1 0.0000 0.3028 0.0000 1
Tc2 0.0000 0.5000 0.5000 1
W1 0.2091 0.5000 0.9679 1
```



[7]
## CaSm2Hg (PBE-GGA)

Data for crystalline CaSm2Hg at its relaxed geometry.

Summary:
- relative energy among the computed polymorphs (meV/atom) = 0.0
- DFT total energy (eV/atom) = -3.09
- crystal system = tetragonal
- magnetic moment (μB/cell) = 0.0

```
data_CaSm2Hg
_chemical_formula_sum 'Ca1 Sm2 Hg1'
_space_group_name_H-M_alt 'P 4/m m m'
_space_group_IT_number 123
_space_group_name_Hall '-P 4 2'
_cell_length_a 3.8176
_cell_length_b 3.8176
_cell_length_c 8.9919
_cell_angle_alpha 90.00
_cell_angle_beta 90.00
_cell_angle_gamma 90.00
loop_
_atom_site_label
_atom_site_fract_x
_atom_site_fract_y
_atom_site_fract_z
_atom_site_occupancy
Ca1 0.0000 0.0000 0.0000 1
Sm1 0.5000 0.5000 0.2989 1
Hg1 0.0000 0.0000 0.5000 1
```



[8]
## Pr2MgGe3Ir4 (PBE-GGA)

Data for crystalline Pr2MgGe3Ir4 at its relaxed geometry.

Summary:
- DFT total energy (eV/atom) = -6.76
- crystal system = tetragonal
- magnetic moment (μB/cell) = 0.0

```
data_Pr2MgGe3Ir4
_chemical_formula_sum 'Pr2 Mg1 Ge3 Ir4'
_space_group_name_H-M_alt 'P -4 m 2'
_space_group_IT_number 115
_cell_length_a 4.2117
_cell_length_b 4.2117
_cell_length_c 10.7392
_cell_angle_alpha 90.00
_cell_angle_beta 90.00
_cell_angle_gamma 90.00
loop_
_space_group_symop_operation_xyz
'x,y,z'
'y,-x,-z'
'-x,-y,z'
'-y,x,-z'
'-x,y,z'
'-y,-x,-z'
'x,-y,z'
'y,x,-z'
loop_
_atom_site_label
_atom_site_fract_x
_atom_site_fract_y
_atom_site_fract_z
_atom_site_occupancy
Pr1 0.0000 0.5000 0.2449 1
Mg1 0.0000 0.0000 0.5000 1
Ge1 0.0000 0.5000 0.8733 1
Ge2 0.5000 0.5000 0.5000 1
Ir1 0.0000 0.0000 0.0000 1
Ir2 0.0000 0.5000 0.6426 1
Ir3 0.5000 0.5000 0.0000 1
```



Number 1: calculated density 11.8 g/cm³. Number 2: calculated density 8.7 g/cm³. Number 3: calculated density 12.6 g/cm³. Number 4: calculated density 6.3 g/cm³. Number 5: calculated density 6.3 g/cm³. Number 6: calculated density 9.0 g/cm³. Number 7: calculated density 6.9 g/cm³. Number 8: calculated density 11.3 g/cm³.